MgHgIr | PBE-GGA | optimized geometry

Summary:
The calculation puts the energy of formation at 117 meV per atom. The value obtained for the relative energy among the computed polymorphs is 126 meV/atom. Its symmetry is Amm2, No. 38.

Geometry as POSCAR:
```
MgHgIr
1.0
13.667 0.000 0.000
0.000 3.007 0.000
0.000 0.000 5.207
Mg Hg Ir
4 4 4
direct
0.000 0.000 0.000
0.000 0.500 0.500
0.500 0.000 0.338
0.500 0.500 0.838
0.177 0.000 0.336
0.177 0.500 0.836
0.823 0.000 0.336
0.823 0.500 0.836
0.347 0.000 0.004
0.347 0.500 0.504
0.653 0.000 0.004
0.653 0.500 0.504
```